(1)
{"formula": "KSi", "functional": "PBEsol", "state": "optimized geometry", "lattice": [[1.6679, -10.0768, 0.0000], [1.6679, 10.0768, 0.0000], [0.0000, 0.0000, 3.5508]], "species": ["K", "K", "Si", "Si"], "fractional_positions": [[0.1088, 0.8912, 0.7500], [0.8912, 0.1088, 0.2500], [0.2719, 0.7281, 0.7500], [0.7281, 0.2719, 0.2500]], "polymorph_energy_mev_per_atom": 285.2, "sg": "No. 63"}


(2)
{"formula": "BaSrZn2", "functional": "PBEsol", "state": "optimized geometry", "lattice": [[-1.8952, 2.7590, 5.5132], [1.8952, -2.7590, 5.5132], [1.8952, 2.7590, -5.5132]], "species": ["Ba", "Sr", "Zn", "Zn"], "fractional_positions": [[0.0000, 0.0000, 0.0000], [0.3070, 0.8070, 0.5000], [0.5787, 0.5787, 0.0000], [0.7336, 0.2336, 0.5000]], "e_form_mev_per_atom": -89, "sg": "No. 44"}


(3)
{"formula": "Y2InSnTe", "functional": "PBEsol", "state": "optimized geometry", "lattice": [[5.5721, 0.0000, 0.0000], [0.0000, 5.5721, 0.0000], [0.0000, 0.0000, 5.6426]], "species": ["Y", "Y", "In", "Sn", "Te"], "fractional_positions": [[0.0000, 0.5000, 0.0000], [0.5000, 0.0000, 0.0000], [0.0000, 0.0000, 0.5000], [0.5000, 0.5000, 0.5000], [0.5000, 0.5000, 0.0000]], "sg": "No. 123"}


no.,DFT total energy (eV per atom)
1,-3.219
2,-1.877
3,-4.804